Entry 1:
Crystalline LaTa2Pd at its relaxed geometry. Source: Alexandria, functional PBE.

Geometry as CIF:
```
data_LaTa2Pd
_chemical_formula_sum 'La4 Ta8 Pd4'
_cell_length_a 4.919
_cell_length_b 4.919
_cell_length_c 18.630
_cell_angle_alpha 90.00
_cell_angle_beta 90.00
_cell_angle_gamma 90.00
_space_group_name_H-M_alt 'I 41/a m d'
_space_group_IT_number 141
loop_
_space_group_symop_operation_xyz
'x,y,z'
'-x,-y,-z'
'-y+1/4,x+3/4,z+1/4'
'y+1/4,-x+3/4,-z+1/4'
'-x+1/2,-y,z+1/2'
'x+1/2,y,-z+1/2'
'y+1/4,-x+1/4,z+3/4'
'-y+1/4,x+1/4,-z+3/4'
'x,-y,-z'
'-x,y,z'
'-y+1/4,-x+1/4,-z+3/4'
'y+1/4,x+1/4,z+3/4'
'-x+1/2,y,-z+1/2'
'x+1/2,-y,z+1/2'
'y+1/4,x+3/4,-z+1/4'
'-y+1/4,-x+3/4,z+1/4'
'x+1/2,y+1/2,z+1/2'
'-x+1/2,-y+1/2,-z+1/2'
'-y+3/4,x+1/4,z+3/4'
'y+3/4,-x+1/4,-z+3/4'
'-x,-y+1/2,z'
'x,y+1/2,-z'
'y+3/4,-x+3/4,z+1/4'
'-y+3/4,x+3/4,-z+1/4'
'x+1/2,-y+1/2,-z+1/2'
'-x+1/2,y+1/2,z+1/2'
'-y+3/4,-x+3/4,-z+1/4'
'y+3/4,x+3/4,z+1/4'
'-x,y+1/2,-z'
'x,-y+1/2,z'
'y+3/4,x+1/4,-z+3/4'
'-y+3/4,-x+1/4,z+3/4'
loop_
_atom_site_label
_atom_site_fract_x
_atom_site_fract_y
_atom_site_fract_z
La1 0.000 0.250 0.375
Ta1 0.000 0.000 0.000
Pd1 0.000 0.250 0.875
```

Results
**Offset from the most stable computed form**: 371 meV per atom

Entry 2:
Crystalline LaTaPd3 at its relaxed geometry. Source: Alexandria, functional PBE.

Geometry as CIF:
```
data_LaTaPd3
_chemical_formula_sum 'La1 Ta1 Pd3'
_cell_length_a 5.009
_cell_length_b 5.009
_cell_length_c 5.009
_cell_angle_alpha 90.00
_cell_angle_beta 90.00
_cell_angle_gamma 90.00
_space_group_name_H-M_alt 'P m -3 m'
_space_group_IT_number 221
_space_group_name_Hall '-P 4 2 3'
loop_
_atom_site_label
_atom_site_fract_x
_atom_site_fract_y
_atom_site_fract_z
La1 0.000 0.000 0.000
Ta1 0.500 0.500 0.500
Pd1 0.000 0.000 0.500
```

Results
**Offset from the most stable computed form**: 1187 meV per atom

Entry 3:
Crystalline La2TaPd at its relaxed geometry. Source: Alexandria, functional PBE.

Geometry as CIF:
```
data_La2TaPd
_chemical_formula_sum 'La8 Ta4 Pd4'
_cell_length_a 7.418
_cell_length_b 7.418
_cell_length_c 7.418
_cell_angle_alpha 90.00
_cell_angle_beta 90.00
_cell_angle_gamma 90.00
_space_group_name_H-M_alt 'F m -3 m'
_space_group_IT_number 225
_space_group_name_Hall '-F 4 2 3'
loop_
_atom_site_label
_atom_site_fract_x
_atom_site_fract_y
_atom_site_fract_z
La1 0.250 0.250 0.250
Ta1 0.000 0.000 0.000
Pd1 0.000 0.000 0.500
```

Results
**Offset from the most stable computed form**: 0 meV per atom

Entry 4:
Crystalline LaTaTl2Pd at its relaxed geometry. Source: Alexandria, functional PBE.

Geometry as CIF:
```
data_LaTaTl2Pd
_chemical_formula_sum 'La1 Ta1 Tl2 Pd1'
_cell_length_a 5.181
_cell_length_b 5.181
_cell_length_c 5.309
_cell_angle_alpha 90.00
_cell_angle_beta 90.00
_cell_angle_gamma 90.00
_space_group_name_H-M_alt 'P 4/m m m'
_space_group_IT_number 123
_space_group_name_Hall '-P 4 2'
loop_
_atom_site_label
_atom_site_fract_x
_atom_site_fract_y
_atom_site_fract_z
La1 0.000 0.000 0.000
Ta1 0.500 0.500 0.000
Tl1 0.000 0.500 0.500
Pd1 0.000 0.000 0.500
```

Results
**VASP energy**: -0.3387 Ry/atom

Entry 5:
Crystalline La2TbPd4 at its relaxed geometry. Source: Alexandria, functional PBE.

Geometry as CIF:
```
data_La2TbPd4
_chemical_formula_sum 'La4 Tb2 Pd8'
_cell_length_a 8.998
_cell_length_b 5.762
_cell_length_c 7.956
_cell_angle_alpha 90.00
_cell_angle_beta 118.74
_cell_angle_gamma 90.00
_space_group_name_H-M_alt 'C 1 2/m 1'
_space_group_IT_number 12
loop_
_space_group_symop_operation_xyz
'x,y,z'
'-x,-y,-z'
'-x,y,-z'
'x,-y,z'
'x+1/2,y+1/2,z'
'-x+1/2,-y+1/2,-z'
'-x+1/2,y+1/2,-z'
'x+1/2,-y+1/2,z'
loop_
_atom_site_label
_atom_site_fract_x
_atom_site_fract_y
_atom_site_fract_z
La1 0.225 0.000 0.329
Tb1 0.000 0.500 0.000
Pd1 0.152 0.000 0.660
Pd2 0.250 0.250 0.000
```

Results
**VASP energy**: -0.4143 Ry/atom

Entry 6:
Crystalline La2Tb2Pd15 at its relaxed geometry. Source: Alexandria, functional PBE.

Geometry as CIF:
```
data_La2Tb2Pd15
_chemical_formula_sum 'La6 Tb6 Pd45'
_cell_length_a 9.2900
_cell_length_b 9.2900
_cell_length_c 14.2259
_cell_angle_alpha 90.00
_cell_angle_beta 90.00
_cell_angle_gamma 120.00
_space_group_name_H-M_alt 'R -3 m'
_space_group_IT_number 166
_space_group_name_Hall '-R 3 2"'
loop_
_atom_site_label
_atom_site_fract_x
_atom_site_fract_y
_atom_site_fract_z
La1 0.0000 0.0000 0.1403
Tb1 0.0000 0.0000 0.3918
Pd1 0.0000 0.3053 0.5000
Pd2 0.0000 0.5000 0.0000
Pd3 0.0053 0.5026 0.6530
```

Results
**VASP energy**: -0.4194 Ry/atom

Entry 7:
Crystalline LaTb3Pd12 at its relaxed geometry. Source: Alexandria, functional PBE.

Geometry as CIF:
```
data_LaTb3Pd12
_chemical_formula_sum 'La1 Tb3 Pd12'
_cell_length_a 4.154
_cell_length_b 4.154
_cell_length_c 16.659
_cell_angle_alpha 90.00
_cell_angle_beta 90.00
_cell_angle_gamma 90.00
_space_group_name_H-M_alt 'P 4/m m m'
_space_group_IT_number 123
_space_group_name_Hall '-P 4 2'
loop_
_atom_site_label
_atom_site_fract_x
_atom_site_fract_y
_atom_site_fract_z
La1 0.000 0.000 0.000
Tb1 0.000 0.000 0.254
Tb2 0.000 0.000 0.500
Pd1 0.000 0.500 0.130
Pd2 0.000 0.500 0.376
Pd3 0.500 0.500 0.000
Pd4 0.500 0.500 0.252
Pd5 0.500 0.500 0.500
```

Results
**VASP energy**: -0.4350 Ry/atom

Entry 8:
Crystalline LaTb2Pd at its relaxed geometry. Source: Alexandria, functional PBE.

Geometry as CIF:
```
data_LaTb2Pd
_chemical_formula_sum 'La3 Tb6 Pd3'
_cell_length_a 3.7930
_cell_length_b 3.7930
_cell_length_c 29.2821
_cell_angle_alpha 90.00
_cell_angle_beta 90.00
_cell_angle_gamma 120.00
_space_group_name_H-M_alt 'R -3 m'
_space_group_IT_number 166
_space_group_name_Hall '-R 3 2"'
loop_
_atom_site_label
_atom_site_fract_x
_atom_site_fract_y
_atom_site_fract_z
La1 0.0000 0.0000 0.0000
Tb1 0.0000 0.0000 0.2290
Pd1 0.0000 0.0000 0.5000
```

Results
**Offset from the most stable computed form**: 153 meV per atom

Entry 9:
Crystalline La2TbPd9 at its relaxed geometry. Source: Alexandria, functional PBE.

Geometry as CIF:
```
data_La2TbPd9
_chemical_formula_sum 'La2 Tb1 Pd9'
_cell_length_a 4.206
_cell_length_b 4.206
_cell_length_c 12.560
_cell_angle_alpha 90.00
_cell_angle_beta 90.00
_cell_angle_gamma 90.00
_space_group_name_H-M_alt 'P 4/m m m'
_space_group_IT_number 123
_space_group_name_Hall '-P 4 2'
loop_
_atom_site_label
_atom_site_fract_x
_atom_site_fract_y
_atom_site_fract_z
La1 0.000 0.000 0.171
Tb1 0.000 0.000 0.500
Pd1 0.000 0.500 0.000
Pd2 0.000 0.500 0.339
Pd3 0.500 0.500 0.169
Pd4 0.500 0.500 0.500
```

Results
**VASP energy**: -0.4349 Ry/atom

Entry 10:
Crystalline La2Tb3Pd2 at its relaxed geometry. Source: Alexandria, functional PBE.

Geometry as CIF:
```
data_La2Tb3Pd2
_chemical_formula_sum 'La4 Tb6 Pd4'
_cell_length_a 12.719
_cell_length_b 3.776
_cell_length_c 9.294
_cell_angle_alpha 90.00
_cell_angle_beta 117.21
_cell_angle_gamma 90.00
_space_group_name_H-M_alt 'C 1 2/m 1'
_space_group_IT_number 12
loop_
_space_group_symop_operation_xyz
'x,y,z'
'-x,-y,-z'
'-x,y,-z'
'x,-y,z'
'x+1/2,y+1/2,z'
'-x+1/2,-y+1/2,-z'
'-x+1/2,y+1/2,-z'
'x+1/2,-y+1/2,z'
loop_
_atom_site_label
_atom_site_fract_x
_atom_site_fract_y
_atom_site_fract_z
La1 0.157 0.000 0.315
Tb1 0.000 0.500 0.500
Tb2 0.116 0.500 0.939
Pd1 0.165 0.000 0.740
```

Results
**VASP energy**: -0.3959 Ry/atom

Entry 11:
Crystalline LaTb2Pd at its relaxed geometry. Source: Alexandria, functional PBE.

Geometry as CIF:
```
data_LaTb2Pd
_chemical_formula_sum 'La2 Tb4 Pd2'
_cell_length_a 3.829
_cell_length_b 9.612
_cell_length_c 6.545
_cell_angle_alpha 90.00
_cell_angle_beta 106.97
_cell_angle_gamma 90.00
_space_group_name_H-M_alt 'P 1 21/m 1'
_space_group_IT_number 11
loop_
_space_group_symop_operation_xyz
'x,y,z'
'-x,-y,-z'
'-x,y+1/2,-z'
'x,-y+1/2,z'
loop_
_atom_site_label
_atom_site_fract_x
_atom_site_fract_y
_atom_site_fract_z
La1 0.066 0.250 0.131
Tb1 0.361 0.062 0.724
Pd1 0.236 0.750 0.471
```

Results
**Offset from the most stable computed form**: 21 meV per atom

Entry 12:
Crystalline LaTb2Pd at its relaxed geometry. Source: Alexandria, functional PBE.

Geometry as CIF:
```
data_LaTb2Pd
_chemical_formula_sum 'La4 Tb8 Pd4'
_cell_length_a 7.180
_cell_length_b 9.875
_cell_length_c 6.613
_cell_angle_alpha 90.00
_cell_angle_beta 90.00
_cell_angle_gamma 90.00
_space_group_name_H-M_alt 'P n m a'
_space_group_IT_number 62
loop_
_space_group_symop_operation_xyz
'x,y,z'
'-x,-y,-z'
'-x+1/2,-y,z+1/2'
'x+1/2,y,-z+1/2'
'x+1/2,-y+1/2,-z+1/2'
'-x+1/2,y+1/2,z+1/2'
'-x,y+1/2,-z'
'x,-y+1/2,z'
loop_
_atom_site_label
_atom_site_fract_x
_atom_site_fract_y
_atom_site_fract_z
La1 0.020 0.250 0.138
Tb1 0.177 0.061 0.670
Pd1 0.116 0.750 0.423
```

Results
**Offset from the most stable computed form**: 0 meV per atom